No. 1
This record from Alexandria describes an optimized crystal structure of Ag2Pd2Au3. The functional is GGA-PBE.

Results
DOS at the Fermi energy, states/eV/f.u.: 1.82
Energy, eV/cell: -25.67
Total moment, μB per formula unit: 0.00

Unit cell a=4.606 b=2.800 c=9.998 alpha=90.00 beta=103.23 gamma=90.00
Positions (direct):
1 Au 0.000 0.000 0.000
2 Au 0.712 0.000 0.424
3 Ag 0.576 0.500 0.151
4 Au 0.288 0.000 0.576
5 Pd 0.861 0.000 0.722
6 Ag 0.424 0.500 0.849
7 Pd 0.139 0.000 0.278



No. 2
This record from Alexandria describes an optimized crystal structure of Ag3Pd4Au. The functional is GGA-PBE.

Results
DOS at the Fermi energy, states/eV/f.u.: 5.05
Energy, eV/cell: -32.89
Total moment, μB per formula unit: 0.00

Unit cell a=4.036 b=4.036 c=8.630 alpha=103.54 beta=103.55 gamma=89.92
Positions (direct):
1 Ag 0.000 0.500 0.000
2 Pd 0.625 0.625 0.250
3 Au 0.500 0.000 0.000
4 Pd 0.375 0.375 0.750
5 Pd 0.875 0.875 0.750
6 Pd 0.125 0.125 0.250
7 Ag 0.250 0.750 0.500
8 Ag 0.750 0.250 0.500



No. 3
This record from Alexandria describes an optimized crystal structure of Ag3PdAu. The functional is GGA-PBE.

Results
DOS at the Fermi energy, states/eV/f.u.: 1.32
Energy, eV/cell: -32.56
Total moment, μB per formula unit: 0.00

Unit cell a=5.698 b=5.698 c=7.692 alpha=68.26 beta=68.26 gamma=60.00
Positions (direct):
1 Ag 0.108 0.611 0.671
2 Au 0.666 0.666 0.003
3 Ag 0.892 0.389 0.329
4 Au 0.334 0.334 0.997
5 Ag 0.389 0.389 0.329
6 Ag 0.611 0.611 0.671
7 Ag 0.389 0.892 0.329
8 Pd 0.110 0.110 0.669
9 Ag 0.611 0.108 0.671
10 Pd 0.890 0.890 0.331



No. 4
This record from Alexandria describes an optimized crystal structure of AgPdAu14. The functional is GGA-PBE.

Results
DOS at the Fermi energy, states/eV/f.u.: 3.92
Energy, eV/cell: -54.11
Total moment, μB per formula unit: 0.00

Unit cell a=5.731 b=5.731 c=9.693 alpha=90.00 beta=90.00 gamma=115.94
Positions (direct):
1 Au 0.197 0.803 0.000
2 Au 0.555 0.948 0.500
3 Au 0.052 0.445 0.500
4 Au 0.873 0.624 0.747
5 Au 0.375 0.625 0.255
6 Au 0.375 0.625 0.745
7 Pd 0.553 0.447 0.500
8 Au 0.875 0.125 0.251
9 Au 0.873 0.624 0.253
10 Ag 0.054 0.946 0.500
11 Au 0.875 0.125 0.749
12 Au 0.197 0.303 0.000
13 Au 0.697 0.303 0.000
14 Au 0.376 0.127 0.253
15 Au 0.376 0.127 0.747
16 Au 0.697 0.803 0.000



What is the DOS at the Fermi energy in the second record? 5.05 states/eV/f.u.



What is the formula in the third record? Ag3PdAu



Which formula does entry 3 have? Ag3PdAu